1.
{"formula": "LaZr2Cu", "functional": "PBE", "state": "optimized geometry", "lattice_angstrom": [[4.2173, 0.0000, 0.0000], [0.0000, 4.2173, 0.0000], [2.1086, 2.1086, 10.6935]], "species": ["Cu", "Cu", "Zr", "Zr", "Zr", "Zr", "La", "La"], "frac_coords": [[0.5000, 0.5000, 0.0000], [0.2500, 0.7500, 0.5000], [0.6077, 0.1250, 0.2500], [0.1423, 0.6250, 0.2500], [0.3750, 0.3923, 0.7500], [0.8750, 0.8577, 0.7500], [0.0000, 0.0000, 0.0000], [0.7500, 0.2500, 0.5000]], "spacegroup": "No. 122"}

2.
{"formula": "Ga2RhAuSe", "functional": "PBE", "state": "optimized geometry", "lattice_angstrom": [[-1.5986, 1.7599, -4.3639], [3.4172, -2.1896, -2.1349], [-2.9030, -3.9961, -0.5481]], "species": ["Rh", "Au", "Ga", "Ga", "Se"], "frac_coords": [[0.0000, 0.5000, 0.0000], [0.5000, 0.5000, 0.5000], [0.0000, 0.0000, 0.5000], [0.5000, 0.0000, 0.0000], [0.0000, 0.0000, 0.0000]], "spacegroup": "No. 123", "raw_formation_energy_ev_per_atom": 0.53}

3.
{"formula": "GePd2Se", "functional": "PBE", "state": "optimized geometry", "lattice_angstrom": [[0.0000, 3.2150, 3.2150], [3.2150, 0.0000, 3.2150], [3.2150, 3.2150, 0.0000]], "species": ["Ge", "Se", "Pd", "Pd"], "frac_coords": [[0.0000, 0.0000, 0.0000], [0.5000, 0.5000, 0.5000], [0.2500, 0.2500, 0.2500], [0.7500, 0.7500, 0.7500]], "spacegroup": "No. 225", "raw_formation_energy_ev_per_atom": -0.19}

no.,E_tot (eV/cell)
1,-49.7
2,-17.5
3,-19.2